Here is a PBEsol-optimized structure of LiBe2P from Alexandria via LeMat-Bulk. Energies are from SCAN.

## Properties
total energy: -5.117 eV per atom
DFT formation energy: 24.8 kJ per mole of atoms

Lattice parameters (Å, degrees): 5.531 5.531 5.531 90.00 90.00 90.00
Space group F-43m (No. 216)
One atom of each set of equivalent atoms:
Li 0.000 0.000 0.000 (multiplicity 4)
Be 0.000 0.000 0.500 (multiplicity 4)
Be 0.250 0.250 0.250 (multiplicity 4)
P 0.250 0.250 0.750 (multiplicity 4)